Compound: NaAlTlOs2
Source: the Alexandria database
Functional: SCAN
Structure: single point on PBEsol structure

a b c (Å): 4.6120 4.6120 4.6314
angles (deg): 90.00 90.00 90.00
With the nearest neighbours (Å) after each atom.
Space group P4/mmm (No. 123)
Inequivalent atoms, fractional coordinates:
Na: 0.0000 0.0000 0.0000  4 Os 2.31, 2 Tl 2.32
Al: 0.5000 0.5000 0.5000  4 Tl 3.26, 8 Os 3.27
Tl: 0.0000 0.0000 0.5000  2 Na 2.32
Os: 0.0000 0.5000 0.0000  2 Na 2.31

Summary:
E_form = 2.5078 eV/atom
Raw total energy = -43.1092 eV/atom

Compound: K3Sb
Source: the Alexandria database
Functional: SCAN
Structure: single point on PBEsol structure

a b c (Å): 8.3801 8.3801 8.3801
angles (deg): 90.00 90.00 90.00
With the nearest neighbours (Å) after each atom.
Space group Fm-3m (No. 225)
Inequivalent atoms, fractional coordinates:
K: 0.0000 0.0000 0.0000  8 K 3.63
K: 0.2500 0.2500 0.2500  4 K 3.63, 4 Sb 3.63
Sb: 0.0000 0.0000 0.5000  8 K 3.63

Summary:
Energy relative to the elements, uncorrected = -486 meV per atom
Raw total energy = -16.0482 eV/atom

Compound: LaPbSe
Source: the Alexandria database
Functional: SCAN
Structure: single point on PBEsol structure

a b c (Å): 4.0005 4.0005 6.7918
angles (deg): 90.00 90.00 120.00
With the nearest neighbours (Å) after each atom.
Space group P3m1 (No. 156)
Inequivalent atoms, fractional coordinates:
La: 0.0000 0.0000 0.0000  3 Se 2.90
Pb: 0.3333 0.6667 0.6194  3 Se 3.37, 3 La 3.47
Se: 0.6667 0.3333 0.2587  3 La 2.90

Summary:
Energy relative to the elements, uncorrected = -809 meV per atom
Raw total energy = -47.1301 eV/atom

Compound: ReGe2PtI
Source: the Alexandria database
Functional: SCAN
Structure: single point on PBEsol structure

a b c (Å): 4.8261 4.8261 4.9318
angles (deg): 90.00 90.00 90.00
With the nearest neighbours (Å) after each atom.
Space group P4/mmm (No. 123)
Inequivalent atoms, fractional coordinates:
Re: 0.0000 0.0000 0.0000  4 Ge 2.41, 2 Pt 2.47
Ge: 0.0000 0.5000 0.0000  2 Re 2.41
Pt: 0.0000 0.0000 0.5000  2 Re 2.47
I: 0.5000 0.5000 0.5000  4 Pt 3.41, 8 Ge 3.45

Summary:
Energy relative to the elements, uncorrected = 731 meV per atom
Raw total energy = -42.5109 eV/atom

Compound: KTi3Zn
Source: the Alexandria database
Functional: SCAN
Structure: single point on PBEsol structure

a b c (Å): 4.9262 4.9262 4.9262
angles (deg): 90.00 90.00 90.00
With the nearest neighbours (Å) after each atom.
Space group Pm-3m (No. 221)
Inequivalent atoms, fractional coordinates:
K: 0.0000 0.0000 0.0000  12 Ti 3.48
Ti: 0.0000 0.5000 0.5000  2 Zn 2.46
Zn: 0.5000 0.5000 0.5000  6 Ti 2.46

Summary:
E_form = 1.0313 eV/atom
Raw total energy = -12.9554 eV/atom

Compound: MgFe2RuCl
Source: the Alexandria database
Functional: SCAN
Structure: single point on PBEsol structure

a b c (Å): 4.6188 4.6188 4.5415
angles (deg): 90.00 90.00 90.00
With the nearest neighbours (Å) after each atom.
Space group P4/mmm (No. 123)
Inequivalent atoms, fractional coordinates:
Mg: 0.0000 0.0000 0.0000  8 Fe 3.24, 4 Cl 3.27
Fe: 0.0000 0.5000 0.5000  2 Ru 2.31
Ru: 0.5000 0.5000 0.5000  2 Cl 2.27, 4 Fe 2.31
Cl: 0.5000 0.5000 0.0000  2 Ru 2.27

Summary:
Energy relative to the elements, uncorrected = 859 meV per atom
Raw total energy = -15.9484 eV/atom

Compound: CrCoIr2
Source: the Alexandria database
Functional: SCAN
Structure: single point on PBEsol structure

a b c (Å): 3.7328 3.7328 7.1205
angles (deg): 90.00 90.00 90.00
With the nearest neighbours (Å) after each atom.
Space group I4/mmm (No. 139)
Inequivalent atoms, fractional coordinates:
Cr: 0.0000 0.0000 0.0000  8 Ir 2.58, 4 Co 2.64
Co: 0.0000 0.0000 0.5000  8 Ir 2.58, 4 Cr 2.64
Ir: 0.0000 0.5000 0.2500  4 Cr 2.58, 4 Co 2.58, 4 Ir 2.64

Summary:
E_form = -0.1540 eV/atom
Raw total energy = -44.6258 eV/atom

Compound: Mg2VBiO6
Source: the Alexandria database
Functional: SCAN
Structure: single point on PBEsol structure

a b c (Å): 12.1547 5.4588 7.9302
angles (deg): 90.00 90.00 90.00
With the nearest neighbours (Å) after each atom.
Space group Pnma (No. 62)
Inequivalent atoms, fractional coordinates:
Mg: 0.0830 0.2500 0.2019  5 O 2.02-2.06
Mg: 0.0954 0.2500 0.8144  5 O 1.99-2.05
V: 0.1982 0.7500 0.0278  4 O 1.69-1.73
Bi: 0.0936 0.7500 0.4838  4 O 2.21-2.27
O: 0.0095 0.0033 0.6713  2 Mg 2.05, 2 Bi 2.21-2.27
O: 0.1174 0.0092 0.0094  1 V 1.73
O: 0.2004 0.2500 0.3814  1 V 1.69
O: 0.2485 0.2500 0.7252  1 V 1.69

Summary:
Energy relative to the elements, uncorrected = -2461 meV per atom
Raw total energy = -16.8009 eV/atom